A plane-wave DFT calculation with PBE was carried out for K2ScRuPt after structural relaxation.

```
K2ScRuPt
1.0
5.902 0.000 0.000
0.000 5.068 0.000
0.000 0.000 5.902
Sc Ru K Pt
1 1 2 1
direct
0.000 0.500 0.000
0.500 0.500 0.500
0.000 0.000 0.500
0.500 0.000 0.000
0.000 0.000 0.000
```

Total magnetic moment, μB/f.u.: 1.50
Energy of formation, meV/atom: 1028
N(E_F), states/eV/f.u.: 11.075

=====

A plane-wave DFT calculation with PBE was carried out for KSiRuPt2 after structural relaxation.

```
KSiRuPt2
1.0
-2.133 3.784 2.314
-1.342 -2.867 3.450
4.205 0.908 2.391
Ru K Si Pt
1 1 1 2
direct
0.000 0.500 0.000
0.000 0.000 0.000
0.500 0.500 0.500
0.000 0.000 0.500
0.500 0.000 0.000
```

Total magnetic moment, μB/f.u.: 1.12
N(E_F), states/eV/f.u.: 4.052
Energy relative to the elements, uncorrected, eV/atom: 2.476